Record 1
Computed, not measured: an optimized crystal structure of GdC2 at the PBE level of DFT.

## Properties
energy above the most stable polymorph in this dataset	317.0	kJ per mole of atoms

a = 7.484 Å, b = 7.484 Å, c = 7.484 Å
α = 60.00°, β = 60.00°, γ = 60.00°
Positions (direct):
Gd 0.125 0.125 0.125
Gd 0.875 0.875 0.875
C 0.000 0.000 0.000
C 0.000 0.000 0.500
C 0.000 0.500 0.000
C 0.500 0.000 0.000

Record 2
Computed, not measured: an optimized crystal structure of GdC2 at the PBE level of DFT.

## Properties
energy above the most stable polymorph in this dataset	184.4	kJ per mole of atoms

a = 4.026 Å, b = 4.026 Å, c = 4.026 Å
α = 60.00°, β = 60.00°, γ = 60.00°
Positions (direct):
Gd 0.000 0.000 0.000
C 0.250 0.250 0.250
C 0.750 0.750 0.750

Record 3
Computed, not measured: an optimized crystal structure of GdC2 at the PBE level of DFT.

## Properties
energy above the most stable polymorph in this dataset	193.1	kJ per mole of atoms

a = 4.642 Å, b = 4.642 Å, c = 4.642 Å
α = 60.00°, β = 60.00°, γ = 60.00°
Positions (direct):
Gd 0.125 0.125 0.125
Gd 0.875 0.875 0.875
C 0.000 0.500 0.500
C 0.500 0.000 0.500
C 0.500 0.500 0.000
C 0.500 0.500 0.500

Record 4
Computed, not measured: an optimized crystal structure of Gd4C3 at the PBE level of DFT.

a = 6.900 Å, b = 6.900 Å, c = 6.900 Å
α = 109.47°, β = 109.47°, γ = 109.47°
Positions (direct):
Gd 0.000 0.409 0.500
Gd 0.000 0.909 0.500
Gd 0.091 0.091 0.091
Gd 0.409 0.500 0.000
Gd 0.500 0.000 0.409
Gd 0.500 0.000 0.909
Gd 0.591 0.591 0.591
Gd 0.909 0.500 0.000
C 0.125 0.750 0.875
C 0.250 0.625 0.375
C 0.375 0.250 0.625
C 0.625 0.375 0.250
C 0.750 0.875 0.125
C 0.875 0.125 0.750

Record 5
Computed, not measured: an optimized crystal structure of Gd5Ge3C at the PBE level of DFT.

a = 8.614 Å, b = 8.614 Å, c = 6.550 Å
α = 90.00°, β = 90.00°, γ = 120.00°
Positions (direct):
Gd 0.000 0.222 0.250
Gd 0.000 0.778 0.750
Gd 0.222 0.000 0.250
Gd 0.222 0.222 0.750
Gd 0.333 0.667 0.000
Gd 0.333 0.667 0.500
Gd 0.667 0.333 0.000
Gd 0.667 0.333 0.500
Gd 0.778 0.000 0.750
Gd 0.778 0.778 0.250
Ge 0.000 0.410 0.750
Ge 0.000 0.590 0.250
Ge 0.410 0.000 0.750
Ge 0.410 0.410 0.250
Ge 0.590 0.000 0.250
Ge 0.590 0.590 0.750
C 0.000 0.000 0.000
C 0.000 0.000 0.500

Record 6
Computed, not measured: an optimized crystal structure of GdHoGe2Mo2C at the PBE level of DFT.

a = 5.913 Å, b = 5.913 Å, c = 7.225 Å
α = 122.05°, β = 122.05°, γ = 37.86°
Positions (direct):
Gd 0.000 0.000 0.000
Ho 0.143 0.143 0.579
Ge 0.435 0.435 0.629
Ge 0.709 0.709 0.951
Mo 0.369 0.369 0.213
Mo 0.775 0.775 0.369
C 0.573 0.573 0.294

no.,uncorrected energy (hartree per atom),calculated density (Mg/m³)
1,-0.1689,2.03
2,-0.2194,6.53
3,-0.2161,8.51
4,-0.2489,8.73
5,-0.2150,8.02
6,-0.2795,8.69